## NiTe2I (GGA-PBE)

Data for a geometry-optimized NiTe2I structure.

```
4
Lattice="8.458 0.000 0.000 0.000 1.916 3.321 0.000 -1.916 3.321" Properties=species:S:1:pos:R:3 pbc="T T T"
Ni 0.000 0.000 0.000
Te 1.425 0.000 4.428
Te 7.033 0.000 4.428
I 4.229 0.000 2.224
```

Summary:
D(E_F) (states/eV/atom): 0.580
Formation energy without anion corrections (meV per atom): -105

=====

## YCoIr2 (GGA-PBE)

Data for a geometry-optimized YCoIr2 structure.

```
4
Lattice="-2.015 2.015 4.053 2.015 -2.015 4.053 2.015 2.015 -4.053" Properties=species:S:1:pos:R:3 pbc="T T T"
Y 0.000 0.000 0.000
Co 0.000 0.000 4.053
Ir 2.015 0.000 2.027
Ir 0.000 2.015 2.027
```

Summary:
D(E_F) (states/eV/atom): 1.463
ΔH_f (0 K) (meV per atom): -93
ΔE to the lowest computed polymorph (eV per atom): 0.093

=====

## Hg2MoPt (GGA-PBE)

Data for a geometry-optimized Hg2MoPt structure.

```
4
Lattice="2.873 0.000 0.000 0.000 5.023 0.000 0.000 0.000 5.169" Properties=species:S:1:pos:R:3 pbc="T T T"
Hg 0.000 0.000 0.000
Hg 1.437 0.000 2.585
Mo 0.000 2.512 2.585
Pt 1.437 2.512 0.000
```

Summary:
D(E_F) (states/eV/atom): 0.894
ΔH_f (0 K) (meV per atom): 447
ΔE to the lowest computed polymorph (eV per atom): 0.319

=====

## LaPm6 (GGA-PBE)

Data for a geometry-optimized LaPm6 structure.

```
7
Lattice="-4.098 4.098 4.098 4.098 -4.098 4.098 4.098 4.098 -4.098" Properties=species:S:1:pos:R:3 pbc="T T T"
La 0.000 0.000 0.000
Pm 4.098 2.049 0.000
Pm 4.098 0.000 2.049
Pm 2.049 4.098 0.000
Pm 2.049 0.000 4.098
Pm 0.000 4.098 2.049
Pm 0.000 2.049 4.098
```

Summary:
D(E_F) (states/eV/atom): 0.818
ΔH_f (0 K) (meV per atom): 1119
ΔE to the lowest computed polymorph (eV per atom): 0.893

=====

## K3Li3MgI8 (GGA-PBE)

Data for a geometry-optimized K3Li3MgI8 structure.

```
15
Lattice="7.723 -4.447 0.000 7.723 4.447 0.000 -5.150 0.000 8.110" Properties=species:S:1:pos:R:3 pbc="T T T"
K 0.000 0.000 0.000
K 3.861 2.224 0.000
K 3.861 -2.224 0.000
Li 1.286 2.224 4.055
Li 1.286 -2.224 4.055
Li 5.148 0.000 4.055
Mg -2.575 0.000 4.055
I -0.069 0.000 5.684
I 3.896 2.280 5.686
I 6.399 2.280 2.424
I 2.570 0.000 2.384
I 7.725 0.000 5.726
I 3.896 -2.280 5.686
I 6.399 -2.280 2.424
I 10.365 0.000 2.426
```

Summary:
D(E_F) (states/eV/atom): 0.000
Formation energy without anion corrections (meV per atom): -1248

=====

## LuHS2 (GGA-PBE)

Data for a geometry-optimized LuHS2 structure.

```
4
Lattice="1.991 1.150 6.057 -1.991 1.150 6.057 0.000 -2.299 6.057" Properties=species:S:1:pos:R:3 pbc="T T T"
Lu 0.000 0.000 0.000
H 0.000 0.000 9.085
S 0.000 0.000 7.455
S 0.000 0.000 10.715
```

Summary:
D(E_F) (states/eV/atom): 0.000
Electronic total energy (eV/cell): -21.29

=====

## Ti3NbPd (GGA-PBE)

Data for a geometry-optimized Ti3NbPd structure.

```
5
Lattice="4.699 0.000 0.000 0.000 4.699 0.000 0.000 0.000 4.699" Properties=species:S:1:pos:R:3 pbc="T T T"
Ti 0.000 0.000 2.349
Ti 0.000 2.349 0.000
Ti 2.349 0.000 0.000
Nb 2.349 2.349 2.349
Pd 0.000 0.000 0.000
```

Summary:
D(E_F) (states/eV/atom): 1.558
ΔH_f (0 K) (meV per atom): 771
ΔE to the lowest computed polymorph (eV per atom): 0.991

=====

## K6Rb8Na (GGA-PBE)

Data for a geometry-optimized K6Rb8Na structure.

```
15
Lattice="6.625 3.825 8.036 -6.625 3.825 8.036 0.000 -7.650 8.036" Properties=species:S:1:pos:R:3 pbc="T T T"
K -1.752 -2.169 10.008
K -2.755 0.432 14.100
K -1.003 2.602 10.008
K 1.003 -2.602 14.100
K 2.755 -0.432 10.008
K 1.752 2.169 14.100
Rb -5.408 0.816 10.181
Rb -3.410 -4.275 13.927
Rb 0.000 0.000 6.006
Rb 1.997 -5.091 10.181
Rb -1.997 5.091 13.927
Rb 0.000 0.000 18.102
Rb 3.410 4.275 10.181
Rb 5.408 -0.816 13.927
Na 0.000 0.000 0.000
```

Summary:
D(E_F) (states/eV/atom): 0.798
ΔH_f (0 K) (meV per atom): 33

=====

## TmPuMgBi (GGA-PBE)

Data for a geometry-optimized TmPuMgBi structure.

```
4
Lattice="0.000 3.808 3.808 3.808 0.000 3.808 3.808 3.808 0.000" Properties=species:S:1:pos:R:3 pbc="T T T"
Tm 0.000 0.000 0.000
Pu 3.808 3.808 3.808
Mg 1.904 1.904 1.904
Bi 5.713 5.713 5.713
```

Summary:
D(E_F) (states/eV/atom): 2.949
ΔH_f (0 K) (meV per atom): -133

=====

## Sm5YHo (GGA-PBE)

Data for a geometry-optimized Sm5YHo structure.

```
7
Lattice="3.481 -5.206 0.000 3.481 5.206 0.000 -2.208 0.000 6.675" Properties=species:S:1:pos:R:3 pbc="T T T"
Sm 0.000 0.000 0.000
Sm 1.553 2.236 1.790
Sm 3.201 2.236 4.885
Sm 1.553 -2.236 1.790
Sm 3.201 -2.236 4.885
Y -1.104 0.000 3.338
Ho 3.481 0.000 0.000
```

Summary:
D(E_F) (states/eV/atom): 1.214
ΔH_f (0 K) (meV per atom): 186
ΔE to the lowest computed polymorph (eV per atom): 0.021

=====

## LiPr8Sn6 (GGA-PBE)

Data for a geometry-optimized LiPr8Sn6 structure.

```
15
Lattice="4.758 2.747 6.533 -4.758 2.747 6.533 0.000 -5.494 6.533" Properties=species:S:1:pos:R:3 pbc="T T T"
Li 0.000 0.000 0.000
Pr -1.458 -2.891 8.421
Pr -3.233 -0.183 11.177
Pr 0.000 0.000 6.521
Pr -1.774 2.708 8.421
Pr 1.774 -2.708 11.177
Pr 0.000 0.000 13.077
Pr 3.233 0.183 8.421
Pr 1.458 2.891 11.177
Sn -3.148 -0.107 7.937
Sn -1.481 -2.780 11.662
Sn 1.667 -2.673 7.937
Sn -1.667 2.673 11.662
Sn 1.481 2.780 7.937
Sn 3.148 0.107 11.662
```

Summary:
D(E_F) (states/eV/atom): 0.484
ΔH_f (0 K) (meV per atom): -546

=====

## Mg4AlGa (GGA-PBE)

Data for a geometry-optimized Mg4AlGa structure.

```
6
Lattice="4.348 0.000 0.000 0.000 4.310 0.000 -2.090 0.000 6.520" Properties=species:S:1:pos:R:3 pbc="T T T"
Mg 0.000 0.000 0.000
Mg 0.042 2.155 2.069
Mg 0.061 0.000 4.274
Mg 2.226 2.155 4.317
Al 2.209 0.000 2.100
Ga 0.091 2.155 6.502
```

Summary:
D(E_F) (states/eV/atom): 0.383
ΔH_f (0 K) (meV per atom): -30
ΔE to the lowest computed polymorph (eV per atom): 0.000

=====

## LaYNb2 (GGA-PBE)

Data for a geometry-optimized LaYNb2 structure.

```
8
Lattice="-4.066 4.066 3.028 4.066 -4.066 3.028 4.066 4.066 -3.028" Properties=species:S:1:pos:R:3 pbc="T T T"
La 0.000 0.000 0.000
La 0.000 4.066 1.514
Y 4.066 0.000 1.514
Y 0.000 0.000 3.028
Nb 2.033 2.029 -0.757
Nb 2.037 -2.033 3.785
Nb 2.033 2.037 2.271
Nb 2.029 6.099 0.757
```

Summary:
D(E_F) (states/eV/atom): 1.064
ΔH_f (0 K) (meV per atom): 921
ΔE to the lowest computed polymorph (eV per atom): 0.328

=====

## BeBiCl2 (GGA-PBE)

Data for a geometry-optimized BeBiCl2 structure.

```
8
Lattice="-3.274 3.274 4.614 3.274 -3.274 4.614 3.274 3.274 -4.614" Properties=species:S:1:pos:R:3 pbc="T T T"
Be 0.000 0.000 0.000
Be 0.000 3.274 2.307
Bi 3.274 0.000 2.307
Bi 0.000 0.000 4.614
Cl 0.218 1.637 1.154
Cl -1.637 3.055 3.461
Cl -0.218 4.910 1.154
Cl 1.637 3.492 3.461
```

Summary:
D(E_F) (states/eV/atom): 0.186
ΔE to the lowest computed polymorph (eV per atom): 0.310
Formation energy without anion corrections (meV per atom): -404

=====

## Pm3ErN4 (GGA-PBE)

Data for a geometry-optimized Pm3ErN4 structure.

```
8
Lattice="5.053 0.000 0.000 0.000 5.053 0.000 0.000 0.000 5.053" Properties=species:S:1:pos:R:3 pbc="T T T"
Pm 0.000 0.000 2.526
Pm 0.000 2.526 0.000
Pm 2.526 0.000 0.000
Er 2.526 2.526 2.526
N 0.000 0.000 0.000
N 0.000 2.526 2.526
N 2.526 0.000 2.526
N 2.526 2.526 0.000
```

Summary:
D(E_F) (states/eV/atom): 0.200
ΔE to the lowest computed polymorph (eV per atom): 0.012
Formation energy without anion corrections (meV per atom): -1490

=====

## Co2CuPd2 (GGA-PBE)

Data for a geometry-optimized Co2CuPd2 structure.

```
10
Lattice="7.217 0.000 0.000 0.000 7.217 0.000 0.000 0.000 2.695" Properties=species:S:1:pos:R:3 pbc="T T T"
Co 0.808 2.800 0.000
Co 2.800 6.409 0.000
Co 4.417 0.808 0.000
Co 6.409 4.417 0.000
Cu 0.000 0.000 0.000
Cu 3.608 3.608 0.000
Pd 1.320 4.929 1.347
Pd 2.288 1.320 1.347
Pd 4.929 5.897 1.347
Pd 5.897 2.288 1.347
```

Summary:
D(E_F) (states/eV/atom): 1.127
ΔH_f (0 K) (meV per atom): 243
ΔE to the lowest computed polymorph (eV per atom): 0.000

=====

## Rb2Hg6Pb3 (GGA-PBE)

Data for a geometry-optimized Rb2Hg6Pb3 structure.

```
11
Lattice="6.150 -6.907 0.000 6.150 6.907 0.000 0.000 0.000 4.655" Properties=species:S:1:pos:R:3 pbc="T T T"
Rb 6.150 3.998 0.000
Rb 6.150 -3.998 0.000
Hg 1.444 0.000 2.328
Hg 3.727 2.180 2.328
Hg 3.727 -2.180 2.328
Hg 8.573 2.180 2.328
Hg 8.573 -2.180 2.328
Hg 10.856 0.000 2.328
Pb 3.755 0.000 0.000
Pb 6.150 0.000 2.328
Pb 8.545 0.000 0.000
```

Summary:
D(E_F) (states/eV/atom): 0.288
ΔH_f (0 K) (meV per atom): -100

=====

## V2Hg2RhS6 (GGA-PBE)

Data for a geometry-optimized V2Hg2RhS6 structure.

```
11
Lattice="2.762 -5.102 0.000 2.762 5.102 0.000 -2.229 0.000 8.956" Properties=species:S:1:pos:R:3 pbc="T T T"
V 2.762 3.694 0.000
V 2.762 -3.694 0.000
Hg 1.647 2.535 4.478
Hg 1.647 -2.535 4.478
Rh 2.762 0.000 0.000
S -1.308 0.000 7.375
S 1.866 1.800 1.320
S 1.428 1.800 7.636
S 1.866 -1.800 1.320
S 1.428 -1.800 7.636
S 4.602 0.000 1.581
```

Summary:
D(E_F) (states/eV/atom): 0.460
Formation energy without anion corrections (meV per atom): -557

=====

## Cs2I7Br (GGA-PBE)

Data for a geometry-optimized Cs2I7Br structure.

```
10
Lattice="-4.531 4.531 6.404 4.531 -4.531 6.404 4.531 4.531 -6.404" Properties=species:S:1:pos:R:3 pbc="T T T"
Cs 4.531 0.000 3.202
Cs 0.000 4.531 3.202
I 0.000 0.000 0.000
I 2.090 2.090 0.000
I 2.441 -2.441 6.404
I 0.000 0.000 3.612
I 0.000 0.000 9.197
I -2.441 2.441 6.404
I 2.441 2.441 6.404
Br 0.000 0.000 6.404
```

Summary:
D(E_F) (states/eV/atom): 0.000
Formation energy without anion corrections (meV per atom): -581

=====

## Nd2TlPdO5 (GGA-PBE)

Data for a geometry-optimized Nd2TlPdO5 structure.

```
18
Lattice="6.900 0.000 0.000 0.000 6.900 0.000 0.000 0.000 5.869" Properties=species:S:1:pos:R:3 pbc="T T T"
Nd 1.203 2.247 0.000
Nd 2.247 5.697 0.000
Nd 4.653 1.203 0.000
Nd 5.697 4.653 0.000
Tl 0.000 0.000 2.935
Tl 3.450 3.450 2.935
Pd 0.000 3.450 2.935
Pd 3.450 0.000 2.935
O 0.000 0.000 0.000
O 0.921 4.371 1.413
O 0.921 4.371 4.456
O 2.529 0.921 1.413
O 2.529 0.921 4.456
O 3.450 3.450 0.000
O 4.371 5.979 1.413
O 4.371 5.979 4.456
O 5.979 2.529 1.413
O 5.979 2.529 4.456
```

Summary:
D(E_F) (states/eV/atom): 0.704
Formation energy without anion corrections (meV per atom): -2016

=====

## InRuS2 (GGA-PBE)

Data for a geometry-optimized InRuS2 structure.

```
8
Lattice="-3.383 3.383 3.941 3.383 -3.383 3.941 3.383 3.383 -3.941" Properties=species:S:1:pos:R:3 pbc="T T T"
In 0.000 0.000 0.000
In 0.000 3.383 1.971
Ru 3.383 0.000 1.971
Ru 0.000 0.000 3.941
S 1.692 -1.094 2.956
S 2.289 1.692 0.985
S 1.692 4.477 -0.985
S 1.094 1.692 4.926
```

Summary:
D(E_F) (states/eV/atom): 0.431
Formation energy without anion corrections (meV per atom): -165

=====

## Sm5ZrP6 (GGA-PBE)

Data for a geometry-optimized Sm5ZrP6 structure.

```
12
Lattice="3.499 -6.055 0.000 3.499 6.055 0.000 -2.336 0.000 6.596" Properties=species:S:1:pos:R:3 pbc="T T T"
Sm 0.000 0.000 0.000
Sm 2.331 4.046 3.298
Sm 3.499 2.049 0.000
Sm 3.499 -2.049 0.000
Sm 2.331 -4.046 3.298
Zr 2.331 0.000 3.298
P 1.212 1.940 1.709
P 0.093 0.000 4.902
P 1.212 -1.940 1.709
P 3.449 1.940 4.887
P 4.569 0.000 1.694
P 3.449 -1.940 4.887
```

Summary:
D(E_F) (states/eV/atom): 0.225
ΔH_f (0 K) (meV per atom): -1531

=====

## Pr2Al3Ge4 (GGA-PBE)

Data for a geometry-optimized Pr2Al3Ge4 structure.

```
18
Lattice="3.055 -7.558 0.000 3.055 7.558 0.000 0.000 0.000 8.055" Properties=species:S:1:pos:R:3 pbc="T T T"
Pr 3.055 5.829 7.393
Pr 3.055 1.729 3.365
Pr 3.055 -1.729 4.690
Pr 3.055 -5.829 0.663
Al 0.000 0.000 4.028
Al 1.527 3.261 6.042
Al 1.527 -3.261 2.014
Al 3.055 0.000 0.000
Al 4.582 3.261 6.042
Al 4.582 -3.261 2.014
Ge 3.055 4.742 4.443
Ge 1.527 0.717 6.042
Ge 1.527 -0.717 2.014
Ge 3.055 2.816 0.416
Ge 3.055 -2.816 7.640
Ge 4.582 0.717 6.042
Ge 4.582 -0.717 2.014
Ge 3.055 -4.742 3.612
```

Summary:
D(E_F) (states/eV/atom): 0.198
ΔH_f (0 K) (meV per atom): -476